# 1
Computed, not measured: a PBEsol-optimized structure of BaAg2Pd2 at the meta-GGA SCAN level of DFT.

a = 4.2008 Å, b = 4.2008 Å, c = 12.1437 Å
α = 90.00°, β = 90.00°, γ = 90.00°
Space group I4/mmm (No. 139)
Inequivalent atoms, fractional coordinates:
Ba 0.0000 0.0000 0.0000 x2
Ag 0.0000 0.5000 0.2500 x4
Pd 0.0000 0.0000 0.3928 x4



# 2
Computed, not measured: a PBEsol-optimized structure of BaAg2Pt at the meta-GGA SCAN level of DFT.

a = 4.6496 Å, b = 4.6496 Å, c = 16.0720 Å
α = 90.00°, β = 90.00°, γ = 120.00°
Space group R3m (No. 160, hexagonal axes)
Inequivalent atoms, fractional coordinates:
Ba 0.0000 0.0000 0.0000 x3
Ag 0.0000 0.0000 0.1928 x3
Ag 0.0000 0.0000 0.4888 x3
Pt 0.0000 0.0000 0.8055 x3

Summary:
The calculation puts the energy above the most stable polymorph in this dataset at 0.0 meV per atom.



# 3
Computed, not measured: a PBEsol-optimized structure of BaAg2Pt at the meta-GGA SCAN level of DFT.

a = 7.0715 Å, b = 7.0715 Å, c = 7.0715 Å
α = 90.00°, β = 90.00°, γ = 90.00°
Space group Fm-3m (No. 225)
Inequivalent atoms, fractional coordinates:
Ba 0.0000 0.0000 0.0000 x4
Ag 0.2500 0.2500 0.2500 x8
Pt 0.0000 0.0000 0.5000 x4

Summary:
The calculation puts the energy above the most stable polymorph in this dataset at 345.4 meV per atom.



# 4
Computed, not measured: a PBEsol-optimized structure of BaAgPt4 at the meta-GGA SCAN level of DFT.

a = 7.6675 Å, b = 7.6675 Å, c = 7.6675 Å
α = 90.00°, β = 90.00°, γ = 90.00°
Space group F-43m (No. 216)
Inequivalent atoms, fractional coordinates:
Ba 0.0000 0.0000 0.0000 x4
Ag 0.2500 0.2500 0.7500 x4
Pt 0.1245 0.1245 0.3755 x16



# 5
Computed, not measured: a PBEsol-optimized structure of BaAg2Pt at the meta-GGA SCAN level of DFT.

a = 3.4969 Å, b = 3.5159 Å, c = 7.1842 Å
α = 90.00°, β = 90.00°, γ = 90.00°
Space group Pmm2 (No. 25)
Inequivalent atoms, fractional coordinates:
Ba 0.0000 0.0000 0.0000 x1
Ag 0.0000 0.0000 0.5299 x1
Ag 0.5000 0.5000 0.3408 x1
Pt 0.5000 0.5000 0.7228 x1

Summary:
The calculation puts the energy above the most stable polymorph in this dataset at 243.6 meV per atom.



# 6
Computed, not measured: a PBEsol-optimized structure of RbBa3Ag at the meta-GGA SCAN level of DFT.

a = 6.5855 Å, b = 6.5855 Å, c = 6.5855 Å
α = 90.00°, β = 90.00°, γ = 90.00°
Space group Pm-3m (No. 221)
Inequivalent atoms, fractional coordinates:
Rb 0.0000 0.0000 0.0000 x1
Ba 0.0000 0.5000 0.5000 x3
Ag 0.5000 0.5000 0.5000 x1



# 7
Computed, not measured: a PBEsol-optimized structure of Rb2BaSrAg at the meta-GGA SCAN level of DFT.

a = 6.6889 Å, b = 6.6889 Å, c = 6.3668 Å
α = 90.00°, β = 90.00°, γ = 90.00°
Space group P4/mmm (No. 123)
Inequivalent atoms, fractional coordinates:
Rb 0.0000 0.5000 0.0000 x2
Ba 0.0000 0.0000 0.5000 x1
Sr 0.5000 0.5000 0.5000 x1
Ag 0.5000 0.5000 0.0000 x1



# 8
Computed, not measured: a PBEsol-optimized structure of Ba2ReAg at the meta-GGA SCAN level of DFT.

a = 3.5437 Å, b = 3.5437 Å, c = 8.9506 Å
α = 90.00°, β = 90.00°, γ = 90.00°
Space group P4/mmm (No. 123)
Inequivalent atoms, fractional coordinates:
Ba 0.0000 0.0000 0.2358 x2
Re 0.5000 0.5000 0.0000 x1
Ag 0.5000 0.5000 0.5000 x1



Going through the records in order, we get E_tot values of -338.2 -521.6 -689.9 -1416.2 -172.9 -171.0 -133.9 -178.2 eV per cell.
Going through the records in order, we get total magnetic moment values of 0.0 0.0 0.0 0.0 0.0 0.0 0.5 1.7 Bohr magnetons per cell.